1.
Hf2Al2Co | PBE-GGA | optimized geometry

```
10
Lattice="-2.1501 3.5224 4.8003 1.2402 -4.7268 4.0240 3.9591 1.5686 0.6223" Properties=species:S:1:pos:R:3 pbc="T T T"
Hf 1.4808 1.1432 2.5793
Hf 1.5684 -0.7791 6.8673
Hf 2.4450 -1.7839 3.8232
Hf 0.6042 2.1480 5.6234
Al 0.1373 -1.1886 2.1226
Al -1.0471 -0.0158 6.7018
Al 0.2948 -2.7941 5.1674
Al -1.2046 1.5897 3.6569
Co 0.0000 0.0000 0.0000
Co -0.4549 -0.6022 4.4122
```

Calculated values
* symmetry: No. 127
* energy of formation from the pure elements: -0.3116 eV/atom

2.
Hf4Al16Co3 | PBE-GGA | optimized geometry

```
23
Lattice="-3.8704 -4.2849 1.0696 1.2452 -2.4233 -5.2020 7.7887 -5.8854 4.6060" Properties=species:S:1:pos:R:3 pbc="T T T"
Al -0.7249 -1.8523 -1.1411
Al 0.2096 -4.5043 -1.1660
Al 4.1652 -5.3518 1.8088
Al -0.1673 -2.9373 -3.4703
Al -2.4578 -3.7709 -0.6621
Al 2.9055 -5.1304 -1.8623
Al 1.6692 -1.2613 0.9871
Al 0.9983 -7.2418 -1.3352
Al 0.3848 -6.0477 1.2281
Al 2.2919 -3.9363 0.7010
Al 2.8716 -8.6573 -0.2274
Al 4.7787 -6.5459 -0.7545
Al 6.1194 -4.6241 3.6189
Al 4.9539 -8.0893 1.6397
Al -1.9003 -4.8559 -2.9914
Al 2.2580 -7.4632 2.3359
Hf 2.1152 -2.3395 -1.7184
Hf -0.4426 -3.2703 1.4175
Hf 4.3609 -6.9000 4.2582
Hf 6.9187 -5.9693 1.1224
Co 4.5169 -4.1544 -0.2980
Co 0.0000 0.0000 0.0000
Co 1.9591 -5.0852 2.8378
```

Calculated values
* symmetry: No. 123
* energy of formation from the pure elements: -0.4026 eV/atom

3.
HfAl2Co | PBE-GGA | optimized geometry

```
4
Lattice="4.1052 0.0000 0.0000 0.0000 3.8864 0.0000 0.0000 0.0000 3.8864" Properties=species:S:1:pos:R:3 pbc="T T T"
Co 2.0526 1.9432 1.9432
Al 0.0000 1.9432 0.0000
Al 0.0000 0.0000 1.9432
Hf 2.0526 0.0000 0.0000
```

Calculated values
* symmetry: No. 123
* energy of formation from the pure elements: -0.3641 eV/atom

4.
HfAlCo2 | PBE-GGA | optimized geometry

```
4
Lattice="-2.6373 0.4701 -1.5585 0.1979 -3.9225 -1.5182 -2.2028 -1.3915 3.3078" Properties=species:S:1:pos:R:3 pbc="T T T"
Co -1.1014 -0.6957 1.6539
Co 0.0990 -1.9612 -0.7591
Hf -1.3186 0.2351 -0.7792
Al -2.3211 -2.4219 0.1155
```

Calculated values
* symmetry: No. 123
* energy of formation from the pure elements: -0.4950 eV/atom

5.
Hf2Al2Co | PBE-GGA | optimized geometry

```
10
Lattice="-2.1320 -0.0632 -3.5737 -3.5100 -0.7480 2.1073 1.1342 10.6451 1.5583" Properties=species:S:1:pos:R:3 pbc="T T T"
Hf -2.5330 8.8735 -1.0692
Hf -0.6236 3.7854 0.3050
Hf -1.2858 1.3027 -1.6793
Hf -3.8842 6.0483 -0.2131
Al -3.4016 3.1186 -0.4492
Al -2.0178 1.2214 1.1822
Al -3.1790 8.2700 1.7502
Al -1.1062 6.7151 0.5411
Co -2.8210 -0.4056 -0.7332
Co -2.5984 4.7457 1.4662
```

Calculated values
* symmetry: No. 141
* energy of formation from the pure elements: -0.3332 eV/atom

6.
HfAl2Co | PBE-GGA | optimized geometry

```
4
Lattice="-2.3647 -1.9289 -2.6496 0.3039 -4.0062 -0.4368 -3.8181 -2.5674 2.1945" Properties=species:S:1:pos:R:3 pbc="T T T"
Hf 0.0000 0.0000 0.0000
Al -1.8017 -2.1881 0.1188
Al -4.0771 -6.3144 -1.0107
Co -2.9394 -4.2513 -0.4459
```

Calculated values
* symmetry: No. 166
* energy of formation from the pure elements: -0.2986 eV/atom

7.
HfAl2Co | PBE-GGA | optimized geometry

```
32
Lattice="5.0912 0.0000 0.0000 0.0000 6.6876 0.0000 0.0000 0.0000 14.6166" Properties=species:S:1:pos:R:3 pbc="T T T"
Hf 1.3355 5.0157 8.8741
Hf 4.8501 5.0157 5.2413
Hf 2.7867 5.0157 12.5496
Hf 1.2101 5.0157 1.5658
Hf 3.7557 1.6719 5.7425
Hf 2.3045 1.6719 2.0670
Hf 0.2411 1.6719 9.3753
Hf 3.8811 1.6719 13.0508
Co 1.4436 1.6719 12.0168
Co 2.4780 5.0157 6.2695
Co 0.0676 5.0157 13.5778
Co 2.6132 1.6719 8.3471
Co 5.0236 1.6719 1.0388
Co 1.1020 1.6719 4.7085
Co 3.6476 5.0157 2.5998
Co 3.9892 5.0157 9.9081
Al 2.3105 3.6999 4.1944
Al 3.8004 6.3397 0.5339
Al 1.2908 0.3479 14.0827
Al 1.2548 2.9959 6.7744
Al 3.8364 6.3397 7.8422
Al 0.2351 3.6999 11.5027
Al 2.3105 6.3315 4.1944
Al 4.8561 2.9877 3.1139
Al 4.8561 0.3561 3.1139
Al 1.2908 2.9959 14.0827
Al 3.8004 3.6917 0.5339
Al 2.7807 2.9877 10.4222
Al 3.8364 3.6917 7.8422
Al 0.2351 6.3315 11.5027
Al 2.7807 0.3561 10.4222
Al 1.2548 0.3479 6.7744
```

Calculated values
* symmetry: No. 62
* energy of formation from the pure elements: -0.5282 eV/atom

8.
HfAlCo | PBE-GGA | optimized geometry

```
3
Lattice="2.9816 0.0000 0.0000 0.0000 2.9816 0.0000 -1.4908 -1.4908 5.1986" Properties=species:S:1:pos:R:3 pbc="T T T"
Co 1.4908 1.4908 1.8400
Al 0.0000 0.0000 3.2022
Hf 0.0000 0.0000 0.1564
```

Calculated values
* symmetry: No. 107
* energy of formation from the pure elements: -0.4036 eV/atom